Record 1
Material: BaMgZn2Ga
Method: DFT, PBE
State: relaxed

Energy   -2.01 eV/atom
Crystal system   tetragonal

Lattice parameters (Å, degrees): 6.5180 6.5180 6.5180 138.31 138.31 60.42
Element x y z (fractional)
Zn  0.2419  0.7419  0.5000
Ba  0.0065  0.0065  0.0000
Ga  0.6312  0.6312  0.0000
Zn  0.7419  0.2419  0.5000
Mg  0.3785  0.3785  0.0000

=====

Record 2
Material: Ta3Bi2S6
Method: DFT, PBE
State: relaxed

Total magnetic moment   0.00 Bohr magnetons per cell
Energy   -7.12 eV/atom
Crystal system   hexagonal

Lattice parameters (Å, degrees): 5.7495 5.7495 17.5482 90.00 90.00 120.00
Element x y z (fractional)
Ta  0.6737  0.0000  0.0000
S  0.6667  0.3333  0.5881
S  0.6667  0.3333  0.9119
Bi  0.3332  0.6666  0.7500
Ta  0.6737  0.6737  0.5000
Ta  0.3263  0.0000  0.5000
S  0.0000  0.0000  0.0914
Bi  0.6666  0.3333  0.7500
Ta  0.3263  0.3263  0.0000
S  0.0000  0.0000  0.4086
S  0.6667  0.3333  0.0881
Ta  0.0000  0.3263  0.5000
Bi  0.3333  0.6666  0.2500
Ta  0.0000  0.6737  0.0000
S  0.3333  0.6667  0.0881
S  0.0000  0.0000  0.9086
S  0.3333  0.6667  0.4119
S  0.6667  0.3333  0.4119
S  0.0000  0.0000  0.5914
Bi  0.6666  0.3332  0.2500
S  0.3333  0.6667  0.9119
S  0.3333  0.6667  0.5881

=====

Record 3
Material: KAlCoSe3
Method: DFT, PBE
State: relaxed

Total magnetic moment   8.39 Bohr magnetons per cell
Energy   -4.45 eV/atom
Crystal system   orthorhombic

Lattice parameters (Å, degrees): 14.9020 3.7349 10.5166 90.00 90.00 90.00
Each line ends with the local moment (μB).
Element x y z (fractional)
Co  0.5138  0.2500  0.9195  1.63
Se  0.6157  0.2500  0.7387  0.09
K  0.7689  0.2500  0.4570  0.00
Se  0.4205  0.7500  0.8793  0.12
Se  0.1157  0.2500  0.7613  0.09
K  0.2689  0.2500  0.0430  0.00
Al  0.0209  0.7500  0.8606  0.01
Co  0.0138  0.2500  0.5805  1.63
Se  0.9205  0.7500  0.6207  0.12
Al  0.5209  0.7500  0.6394  0.01
Se  0.5898  0.7500  0.4225  0.01
Al  0.4791  0.2500  0.3606  0.01
Se  0.0795  0.2500  0.3793  0.12
Se  0.3843  0.7500  0.2613  0.09
Co  0.9862  0.7500  0.4195  1.63
K  0.7311  0.7500  0.9570  0.00
K  0.2311  0.7500  0.5430  0.00
Se  0.4102  0.2500  0.5775  0.01
Se  0.9102  0.2500  0.9225  0.01
Se  0.0898  0.7500  0.0775  0.01
Al  0.9791  0.2500  0.1394  0.01
Se  0.5795  0.2500  0.1207  0.12
Se  0.8843  0.7500  0.2387  0.09
Co  0.4862  0.7500  0.0805  1.63